Entry from the Alexandria database: Pm2SmGa3Rh4 after structural relaxation (PBE-GGA).

POSCAR file:
```
Pm2SmGa3Rh4
1.0
4.291 0.000 0.000
0.000 4.291 0.000
0.000 0.000 10.992
Pm Rh Ga Sm
2 4 3 1
direct
0.500 0.000 0.218
0.000 0.500 0.782
0.000 0.500 0.344
0.000 0.000 0.000
0.500 0.000 0.656
0.500 0.500 0.000
0.000 0.000 0.500
0.500 0.000 0.884
0.000 0.500 0.116
0.500 0.500 0.500
```

Properties
DOS at the Fermi energy	7.094	states/eV per cell
total moment	0.00	μB/cell
uncorrected energy	-6.022	eV/atom
ΔH_f (0 K)	-7.5	eV per formula unit

=====

Entry from the Alexandria database: PmSmGaRh after structural relaxation (PBE-GGA).

POSCAR file:
```
PmSmGaRh
1.0
4.368 0.000 0.000
0.000 3.953 0.000
-2.184 0.000 5.566
Sm Rh Pm Ga
1 1 1 1
direct
0.150 0.000 0.301
0.415 0.000 0.830
0.865 0.500 0.730
0.569 0.500 0.139
```

Properties
DOS at the Fermi energy	3.535	states/eV per cell
ΔE to the lowest computed polymorph	0.0000	eV per atom
total moment	0.00	μB/cell
uncorrected energy	-5.632	eV/atom
ΔH_f (0 K)	-2.7	eV per formula unit

=====

Entry from the Alexandria database: PmSmGaRh after structural relaxation (PBE-GGA).

POSCAR file:
```
PmSmGaRh
1.0
-2.864 -4.187 0.264
0.511 -3.184 3.926
-3.679 -0.345 3.486
Pm Sm Rh Ga
1 1 1 1
direct
0.000 0.000 0.000
0.500 0.500 0.500
0.750 0.750 0.750
0.250 0.250 0.250
```

Properties
DOS at the Fermi energy	3.593	states/eV per cell
ΔE to the lowest computed polymorph	0.0965	eV per atom
total moment	0.00	μB/cell
uncorrected energy	-5.536	eV/atom
ΔH_f (0 K)	-2.3	eV per formula unit

=====

Entry from the Alexandria database: PmSmGa2Rh2 after structural relaxation (PBE-GGA).

POSCAR file:
```
PmSmGa2Rh2
1.0
-1.635 -1.376 -3.824
1.479 -2.908 2.924
-6.874 -0.397 3.082
Rh Pm Ga Sm
2 1 2 1
direct
0.333 0.667 0.745
0.667 0.333 0.255
0.000 0.000 0.000
0.333 0.667 0.253
0.667 0.333 0.747
0.000 0.000 0.500
```

Properties
DOS at the Fermi energy	5.020	states/eV per cell
total moment	0.00	μB/cell
uncorrected energy	-5.821	eV/atom
ΔH_f (0 K)	-4.7	eV per formula unit

=====

Entry from the Alexandria database: Pm2Ga4SnRh3 after structural relaxation (PBE-GGA).

POSCAR file:
```
Pm2Ga4SnRh3
1.0
-1.594 3.768 0.847
-3.223 -0.792 -2.538
-5.688 -4.334 8.575
Rh Sn Ga Pm
3 1 4 2
direct
0.000 0.000 0.500
0.500 0.000 0.873
0.000 0.500 0.127
0.500 0.500 0.500
0.000 0.500 0.348
0.000 0.000 0.000
0.500 0.000 0.652
0.500 0.500 0.000
0.500 0.000 0.237
0.000 0.500 0.763
```

Properties
DOS at the Fermi energy	6.721	states/eV per cell
total moment	0.00	μB/cell
uncorrected energy	-5.457	eV/atom
ΔH_f (0 K)	-6.9	eV per formula unit

=====

Entry from the Alexandria database: PmGaSnRh after structural relaxation (PBE-GGA).

POSCAR file:
```
PmGaSnRh
1.0
4.890 0.000 0.000
2.445 4.235 0.000
2.445 1.412 3.993
Rh Ga Pm Sn
1 1 1 1
direct
0.750 0.750 0.750
0.250 0.250 0.250
0.500 0.500 0.500
0.000 0.000 0.000
```

Properties
DOS at the Fermi energy	3.263	states/eV per cell
total moment	0.00	μB/cell
uncorrected energy	-5.301	eV/atom
ΔH_f (0 K)	-2.1	eV per formula unit